a) An optimized crystal structure of Nd3Dy3Y, computed with PBE.

Properties
Total magnetic moment (Bohr magnetons per cell): 0.0
Density of states at the Fermi level (states/eV/atom): 1.41

Cell and atoms, written as CIF:
```
data_Nd3Dy3Y
_chemical_formula_sum 'Nd12 Dy12 Y4'
_symmetry_space_group_name_H-M 'C 1 2/m 1'
_symmetry_Int_Tables_number 12
_symmetry_space_group_name_Hall '-C 2y'
_cell_length_a 8.651
_cell_length_b 9.293
_cell_length_c 12.406
_cell_angle_alpha 90.00
_cell_angle_beta 109.87
_cell_angle_gamma 90.00
loop_
_atom_site_label
_atom_site_fract_x
_atom_site_fract_y
_atom_site_fract_z
_atom_site_occupancy
Nd1 0.183 0.187 0.289 1
Nd2 0.198 0.000 0.815 1
Dy1 0.000 0.172 0.500 1
Dy2 0.000 0.188 0.000 1
Dy3 0.120 0.500 0.424 1
Y1 0.112 0.500 0.878 1
```

=====

b) An optimized crystal structure of Nd3Dy3Y, computed with PBE.

Properties
Total magnetic moment (Bohr magnetons per cell): 0.0
Density of states at the Fermi level (states/eV/atom): 1.93

Cell and atoms, written as CIF:
```
data_Nd3Dy3Y
_chemical_formula_sum 'Nd6 Dy6 Y2'
_symmetry_space_group_name_H-M 'P 63/m'
_symmetry_Int_Tables_number 176
_symmetry_space_group_name_Hall '-P 6c'
_cell_length_a 9.6926
_cell_length_b 9.6926
_cell_length_c 5.7779
_cell_angle_alpha 90.00
_cell_angle_beta 90.00
_cell_angle_gamma 120.00
loop_
_atom_site_label
_atom_site_fract_x
_atom_site_fract_y
_atom_site_fract_z
_atom_site_occupancy
Nd1 0.0948 0.6216 0.2500 1
Dy1 0.0447 0.8102 0.7500 1
Y1 0.3333 0.6667 0.7500 1
```

=====

Quick look at relative energies in eV/atom: a) 0.097; b) 0.000.

=====

a) An optimized crystal structure of NdDy5Y, computed with PBE.

Properties
Total magnetic moment (Bohr magnetons per cell): 0.0
Density of states at the Fermi level (states/eV/atom): 1.37

Cell and atoms, written as CIF:
```
data_NdDy5Y
_chemical_formula_sum 'Nd2 Dy10 Y2'
_symmetry_space_group_name_H-M 'I m m m'
_symmetry_Int_Tables_number 71
_symmetry_space_group_name_Hall '-I 2 2'
_cell_length_a 5.790
_cell_length_b 8.656
_cell_length_c 11.848
_cell_angle_alpha 90.00
_cell_angle_beta 90.00
_cell_angle_gamma 90.00
loop_
_atom_site_label
_atom_site_fract_x
_atom_site_fract_y
_atom_site_fract_z
_atom_site_occupancy
Nd1 0.000 0.000 0.000 1
Dy1 0.000 0.000 0.252 1
Dy2 0.000 0.321 0.500 1
Dy3 0.000 0.500 0.000 1
Y1 0.000 0.000 0.500 1
```

=====

b) An optimized crystal structure of NdDy5Y, computed with PBE.

Properties
Total magnetic moment (Bohr magnetons per cell): 0.0
Density of states at the Fermi level (states/eV/atom): 1.17

Cell and atoms, written as CIF:
```
data_NdDy5Y
_chemical_formula_sum 'Nd4 Dy20 Y4'
_symmetry_space_group_name_H-M 'C 1 2/c 1'
_symmetry_Int_Tables_number 15
_symmetry_space_group_name_Hall '-C 2yc'
_cell_length_a 11.733
_cell_length_b 6.769
_cell_length_c 12.203
_cell_angle_alpha 90.00
_cell_angle_beta 110.06
_cell_angle_gamma 90.00
loop_
_atom_site_label
_atom_site_fract_x
_atom_site_fract_y
_atom_site_fract_z
_atom_site_occupancy
Nd1 0.000 0.029 0.250 1
Dy1 0.000 0.411 0.750 1
Dy2 0.079 0.268 0.500 1
Dy3 0.219 0.366 0.248 1
Y1 0.250 0.250 0.000 1
```

=====

Quick look at relative energies in eV/atom: a) 0.929; b) 0.000.

=====

a) An optimized crystal structure of Nd4Dy3Y, computed with PBE.

Properties
Total magnetic moment (Bohr magnetons per cell): 0.0
Density of states at the Fermi level (states/eV/atom): 1.85

Cell and atoms, written as CIF:
```
data_Nd4Dy3Y
_chemical_formula_sum 'Nd8 Dy6 Y2'
_symmetry_space_group_name_H-M 'P m n 21'
_symmetry_Int_Tables_number 31
_symmetry_space_group_name_Hall 'P 2ac -2'
_cell_length_a 11.630
_cell_length_b 7.346
_cell_length_c 6.335
_cell_angle_alpha 90.00
_cell_angle_beta 90.00
_cell_angle_gamma 90.00
loop_
_atom_site_label
_atom_site_fract_x
_atom_site_fract_y
_atom_site_fract_z
_atom_site_occupancy
Nd1 0.000 0.127 0.000 1
Nd2 0.000 0.872 0.503 1
Nd3 0.249 0.128 0.335 1
Dy1 0.000 0.379 0.502 1
Dy2 0.250 0.378 0.836 1
Y1 0.000 0.622 0.003 1
```

=====

b) An optimized crystal structure of Nd4Dy3Y, computed with PBE.

Properties
Total magnetic moment (Bohr magnetons per cell): 0.0
Density of states at the Fermi level (states/eV/atom): 1.72

Cell and atoms, written as CIF:
```
data_Nd4Dy3Y
_chemical_formula_sum 'Nd8 Dy6 Y2'
_symmetry_space_group_name_H-M 'C 1 2/m 1'
_symmetry_Int_Tables_number 12
_symmetry_space_group_name_Hall '-C 2y'
_cell_length_a 23.680
_cell_length_b 3.513
_cell_length_c 6.836
_cell_angle_alpha 90.00
_cell_angle_beta 106.58
_cell_angle_gamma 90.00
loop_
_atom_site_label
_atom_site_fract_x
_atom_site_fract_y
_atom_site_fract_z
_atom_site_occupancy
Nd1 0.124 0.000 0.370 1
Nd2 0.240 0.500 0.235 1
Dy1 0.000 0.000 0.500 1
Dy2 0.123 0.000 0.881 1
Y1 0.000 0.500 0.000 1
```

=====

Quick look at relative energies in eV/atom: a) 0.000; b) 0.134.

=====

a) An optimized crystal structure of Nd6Dy2Y3, computed with PBE.

Properties
Total magnetic moment (Bohr magnetons per cell): 0.0
Density of states at the Fermi level (states/eV/atom): 1.37

Cell and atoms, written as CIF:
```
data_Nd6Dy2Y3
_chemical_formula_sum 'Nd12 Dy4 Y6'
_symmetry_space_group_name_H-M 'I 4/m m m'
_symmetry_Int_Tables_number 139
_symmetry_space_group_name_Hall '-I 4 2'
_cell_length_a 4.819
_cell_length_b 4.819
_cell_length_c 33.696
_cell_angle_alpha 90.00
_cell_angle_beta 90.00
_cell_angle_gamma 90.00
loop_
_atom_site_label
_atom_site_fract_x
_atom_site_fract_y
_atom_site_fract_z
_atom_site_occupancy
Nd1 0.000 0.000 0.196 1
Nd2 0.000 0.500 0.119 1
Dy1 0.000 0.000 0.045 1
Y1 0.000 0.000 0.299 1
Y2 0.000 0.000 0.500 1
```

=====

b) An optimized crystal structure of Nd6Dy2Y3, computed with PBE.

Properties
Total magnetic moment (Bohr magnetons per cell): 0.0
Density of states at the Fermi level (states/eV/atom): 1.19

Cell and atoms, written as CIF:
```
data_Nd6Dy2Y3
_chemical_formula_sum 'Nd18 Dy6 Y9'
_symmetry_space_group_name_H-M 'R -3 m'
_symmetry_Int_Tables_number 166
_symmetry_space_group_name_Hall '-R 3 2"'
_cell_length_a 3.6307
_cell_length_b 3.6307
_cell_length_c 97.1733
_cell_angle_alpha 90.00
_cell_angle_beta 90.00
_cell_angle_gamma 120.00
loop_
_atom_site_label
_atom_site_fract_x
_atom_site_fract_y
_atom_site_fract_z
_atom_site_occupancy
Nd1 0.0000 0.0000 0.0909 1
Nd2 0.0000 0.0000 0.1823 1
Nd3 0.0000 0.0000 0.3636 1
Dy1 0.0000 0.0000 0.4542 1
Y1 0.0000 0.0000 0.0000 1
Y2 0.0000 0.0000 0.2728 1
```

=====

Quick look at relative energies in eV/atom: a) 0.278; b) 0.000.

=====

a) An optimized crystal structure of Nd2Dy9Y, computed with PBE.

Properties
Total magnetic moment (Bohr magnetons per cell): 0.0
Density of states at the Fermi level (states/eV/atom): 1.46

Cell and atoms, written as CIF:
```
data_Nd2Dy9Y
_chemical_formula_sum 'Nd2 Dy9 Y1'
_symmetry_space_group_name_H-M 'P 4/m m m'
_symmetry_Int_Tables_number 123
_symmetry_space_group_name_Hall '-P 4 2'
_cell_length_a 5.047
_cell_length_b 5.047
_cell_length_c 15.141
_cell_angle_alpha 90.00
_cell_angle_beta 90.00
_cell_angle_gamma 90.00
loop_
_atom_site_label
_atom_site_fract_x
_atom_site_fract_y
_atom_site_fract_z
_atom_site_occupancy
Nd1 0.000 0.000 0.167 1
Dy1 0.000 0.500 0.000 1
Dy2 0.000 0.500 0.335 1
Dy3 0.500 0.500 0.168 1
Dy4 0.500 0.500 0.500 1
Y1 0.000 0.000 0.500 1
```

=====

b) An optimized crystal structure of Nd2Dy9Y, computed with PBE.

Properties
Total magnetic moment (Bohr magnetons per cell): 0.0
Density of states at the Fermi level (states/eV/atom): 1.60

Cell and atoms, written as CIF:
```
data_Nd2Dy9Y
_chemical_formula_sum 'Nd2 Dy9 Y1'
_symmetry_space_group_name_H-M 'P 6/m m m'
_symmetry_Int_Tables_number 191
_symmetry_space_group_name_Hall '-P 6 2'
_cell_length_a 11.2842
_cell_length_b 11.2842
_cell_length_c 3.5028
_cell_angle_alpha 90.00
_cell_angle_beta 90.00
_cell_angle_gamma 120.00
loop_
_atom_site_label
_atom_site_fract_x
_atom_site_fract_y
_atom_site_fract_z
_atom_site_occupancy
Nd1 0.3333 0.6667 0.0000 1
Dy1 0.0000 0.5000 0.0000 1
Dy2 0.1737 0.3475 0.5000 1
Y1 0.0000 0.0000 0.0000 1
```

=====

Quick look at relative energies in eV/atom: a) 0.000; b) 0.042.